A.
First-principles (PBE-GGA) data for Ti2IrAu2 after structural relaxation, as listed in the Alexandria database.

```
Ti2IrAu2
1.0
7.220 0.000 0.000
0.000 7.220 0.000
0.000 0.000 3.245
Ti Ir Au
4 2 4
direct
0.174 0.326 0.000
0.326 0.826 0.000
0.674 0.174 0.000
0.826 0.674 0.000
0.000 0.000 0.500
0.500 0.500 0.500
0.132 0.632 0.500
0.368 0.132 0.500
0.632 0.868 0.500
0.868 0.368 0.500
```

Results
**V**: 16.91 A^3/atom
**ρ**: 13.4 Mg/m³
**DOS(E_F)**: 3.070 states/eV/f.u.

B.
First-principles (PBE-GGA) data for Ti2IrAu2 after structural relaxation, as listed in the Alexandria database.

```
Ti2IrAu2
1.0
1.449 -10.060 0.000
1.449 10.060 0.000
0.000 0.000 2.901
Ti Ir Au
2 1 2
direct
0.087 0.913 0.000
0.913 0.087 0.000
0.500 0.500 0.500
0.313 0.687 0.500
0.687 0.313 0.500
```

Results
**V**: 16.91 A^3/atom
**ρ**: 13.4 Mg/m³
**DOS(E_F)**: 5.067 states/eV/f.u.

It is B that is the most stable of them.

A.
First-principles (PBE-GGA) data for Tl2IrAu after structural relaxation, as listed in the Alexandria database.

```
Tl2IrAu
1.0
-2.182 2.189 4.235
2.182 -2.189 4.235
2.182 2.189 -4.235
Tl Ir Au
2 1 1
direct
0.250 0.250 0.000
0.750 0.750 0.000
0.500 0.000 0.500
0.000 0.500 0.500
```

Results
**V**: 20.23 A^3/atom
**ρ**: 16.4 Mg/m³
**DOS(E_F)**: 1.756 states/eV/f.u.

B.
First-principles (PBE-GGA) data for Tl2IrAu after structural relaxation, as listed in the Alexandria database.

```
Tl2IrAu
1.0
0.000 3.439 3.439
3.439 0.000 3.439
3.439 3.439 0.000
Tl Ir Au
2 1 1
direct
0.250 0.250 0.250
0.750 0.750 0.750
0.000 0.000 0.000
0.500 0.500 0.500
```

Results
**V**: 20.33 A^3/atom
**ρ**: 16.3 Mg/m³
**DOS(E_F)**: 3.391 states/eV/f.u.

C.
First-principles (PBE-GGA) data for Tl2IrAu after structural relaxation, as listed in the Alexandria database.

```
Tl2IrAu
1.0
3.779 0.000 0.000
0.000 4.250 0.000
-1.867 0.000 5.360
Tl Ir Au
2 1 1
direct
0.000 0.000 0.000
0.298 0.500 0.598
0.738 0.000 0.474
0.573 0.500 0.148
```

Results
**V**: 21.52 A^3/atom
**ρ**: 15.4 Mg/m³
**DOS(E_F)**: 1.550 states/eV/f.u.

D.
First-principles (PBE-GGA) data for Tl2IrAu after structural relaxation, as listed in the Alexandria database.

```
Tl2IrAu
1.0
1.642 0.948 8.966
-1.642 0.948 8.966
0.000 -1.896 8.966
Tl Ir Au
2 1 1
direct
0.246 0.246 0.246
0.754 0.754 0.754
0.500 0.500 0.500
0.000 0.000 0.000
```

Results
**V**: 20.93 A^3/atom
**ρ**: 15.8 Mg/m³
**DOS(E_F)**: 2.853 states/eV/f.u.

It is C that is the most stable of them.

A.
First-principles (PBE-GGA) data for TlIrAu2 after structural relaxation, as listed in the Alexandria database.

```
TlIrAu2
1.0
1.459 -2.562 0.000
1.459 2.562 0.000
0.000 0.000 10.376
Tl Ir Au
1 1 2
direct
0.000 0.000 0.000
0.000 0.000 0.500
0.500 0.500 0.272
0.500 0.500 0.728
```

Results
**V**: 19.39 A^3/atom
**ρ**: 16.9 Mg/m³
**DOS(E_F)**: 3.973 states/eV/f.u.

B.
First-principles (PBE-GGA) data for TlIrAu2 after structural relaxation, as listed in the Alexandria database.

```
TlIrAu2
1.0
-2.019 2.019 4.543
2.019 -2.019 4.543
2.019 2.019 -4.543
Tl Ir Au
1 1 2
direct
0.000 0.000 0.000
0.500 0.500 0.000
0.250 0.750 0.500
0.750 0.250 0.500
```

Results
**V**: 18.53 A^3/atom
**ρ**: 17.7 Mg/m³
**DOS(E_F)**: 2.807 states/eV/f.u.

It is B that is the most stable of them.